No. 1
The following is a DFT calculation (PBE) of Ho2BeCd after structural relaxation.

a = 3.378 Å, b = 3.378 Å, c = 10.640 Å
α = 80.87°, β = 80.87°, γ = 60.00°
Sites, in units of the cell vectors:
Be: 0.500 0.500 0.500
Ho: 0.103 0.103 0.690
Ho: 0.897 0.897 0.310
Cd: 0.000 0.000 0.000

---

No. 2
The following is a DFT calculation (PBE) of Ho2BeCd after structural relaxation.

a = 3.450 Å, b = 3.450 Å, c = 7.545 Å
α = 90.00°, β = 90.00°, γ = 90.00°
Sites, in units of the cell vectors:
Be: 0.500 0.500 0.000
Ho: 0.000 0.000 0.784
Ho: 0.000 0.000 0.216
Cd: 0.500 0.500 0.500

---

No. 3
The following is a DFT calculation (PBE) of Ho2BeCd after structural relaxation.

a = 5.070 Å, b = 5.070 Å, c = 5.070 Å
α = 60.00°, β = 60.00°, γ = 60.00°
Sites, in units of the cell vectors:
Be: 0.500 0.500 0.500
Ho: 0.250 0.250 0.250
Ho: 0.750 0.750 0.750
Cd: 0.000 0.000 0.000

---

V? In order: 25.837; 22.454; 23.041 Å³/atom.
E_tot? In order: -3.129; -3.571; -3.493 eV/atom.